No. 1
22
Lattice="7.431 -3.285 0.000 7.431 3.285 0.000 -4.721 0.000 11.394" Properties=species:S:1:pos:R:3 comment="PBE-GGA Al2Zn3S6, optimized geometry" formation_energy_uncorrected_ev_per_atom=-0.812 energy_ev_per_atom=-4.0915 n_ef_per_ev_cell=0.000 spacegroup=C2/c pbc="T T T"
Al 1.475 0.084 0.162
Al -0.885 -0.084 5.859
Al 11.026 0.084 5.535
Al 8.665 -0.084 11.233
Zn 6.250 3.263 2.849
Zn -0.412 0.165 9.190
Zn 1.948 -0.165 3.493
Zn 8.192 0.165 7.901
Zn 10.553 -0.165 2.204
Zn 3.890 -3.263 8.546
S 2.459 2.169 7.078
S 2.942 0.895 1.697
S 5.126 1.930 4.574
S 7.375 1.930 1.123
S 5.321 2.169 10.013
S 0.582 -0.895 7.394
S 9.559 0.895 4.000
S 4.820 -2.169 1.381
S 2.765 -1.930 10.271
S 5.015 -1.930 6.820
S 7.198 -0.895 9.698
S 7.681 -2.169 4.316


No. 2
14
Lattice="-4.509 4.509 4.493 4.509 -4.509 4.493 4.509 4.509 -4.493" Properties=species:S:1:pos:R:3 comment="PBE-GGA Pm4GaSe2, optimized geometry" formation_energy_uncorrected_ev_per_atom=-1.156 energy_ev_per_atom=-5.2988 n_ef_per_ev_cell=13.001 spacegroup=I-42d pbc="T T T"
Pm 5.073 1.639 -0.512
Pm 2.869 3.944 -2.758
Pm 1.639 0.565 1.735
Pm 1.639 3.944 0.512
Pm 2.869 0.565 5.005
Pm 5.073 2.869 2.758
Pm -0.565 2.869 3.981
Pm -0.565 1.639 7.251
Ga 4.509 0.000 2.246
Ga 0.000 0.000 4.493
Se 2.254 1.186 -1.123
Se 3.323 -2.254 5.616
Se 2.254 3.323 3.370
Se 1.186 6.763 1.123